[1]
First-principles (PBE-GGA) data for an optimized crystal structure of YSc4Au5, as listed in the Alexandria database.

abc: 3.432 3.432 17.354
angles: 90.00 90.00 90.00
Fractional positions:
Y 0.000 0.000 0.000
Sc 0.000 0.000 0.207
Sc 0.000 0.000 0.402
Sc 0.000 0.000 0.598
Sc 0.000 0.000 0.793
Au 0.500 0.500 0.114
Au 0.500 0.500 0.304
Au 0.500 0.500 0.500
Au 0.500 0.500 0.696
Au 0.500 0.500 0.886

E: -5.6302 eV per atom
Calculated formation energy: -0.81 eV per atom
DOS at the Fermi energy: 5.30 states/eV/cell
Magnetic moment: 0.00 Bohr magnetons per cell
SG: P4/mmm, No. 123

[2]
First-principles (PBE-GGA) data for an optimized crystal structure of Ho5ScSn4, as listed in the Alexandria database.

abc: 9.471 9.471 9.310
angles: 104.45 104.45 21.90
Fractional positions:
Ho 0.000 0.000 0.000
Ho 0.325 0.325 0.136
Ho 0.332 0.332 0.698
Ho 0.668 0.668 0.302
Ho 0.675 0.675 0.864
Sc 0.000 0.000 0.500
Sn 0.164 0.164 0.580
Sn 0.497 0.497 0.254
Sn 0.503 0.503 0.746
Sn 0.836 0.836 0.420

E: -4.8239 eV per atom
Calculated formation energy: -0.30 eV per atom
DOS at the Fermi energy: 6.87 states/eV/cell
Magnetic moment: 0.00 Bohr magnetons per cell
SG: C2/m, No. 12

[3]
First-principles (PBE-GGA) data for an optimized crystal structure of Pr3ErTm6Th2, as listed in the Alexandria database.

abc: 6.176 6.176 11.721
angles: 95.05 95.05 119.97
Fractional positions:
Pr 0.000 0.000 0.000
Pr 0.334 0.666 0.000
Pr 0.666 0.334 0.000
Er 0.500 0.500 0.500
Tm 0.082 0.419 0.256
Tm 0.244 0.244 0.744
Tm 0.419 0.082 0.256
Tm 0.581 0.918 0.744
Tm 0.756 0.756 0.256
Tm 0.918 0.581 0.744
Th 0.167 0.833 0.500
Th 0.833 0.167 0.500

E: -5.0280 eV per atom
Calculated formation energy: 0.02 eV per atom
DOS at the Fermi energy: 15.25 states/eV/cell
Magnetic moment: 0.00 Bohr magnetons per cell
SG: C2/m, No. 12

[4]
First-principles (PBE-GGA) data for an optimized crystal structure of Nd3Ho3Sc2, as listed in the Alexandria database.

abc: 5.012 5.029 19.564
angles: 90.00 90.00 90.00
Fractional positions:
Nd 0.000 0.000 0.000
Nd 0.000 0.500 0.131
Nd 0.000 0.500 0.869
Nd 0.500 0.000 0.369
Nd 0.500 0.000 0.631
Nd 0.500 0.500 0.500
Ho 0.000 0.000 0.500
Ho 0.000 0.500 0.368
Ho 0.000 0.500 0.632
Ho 0.500 0.000 0.132
Ho 0.500 0.000 0.868
Ho 0.500 0.500 0.000
Sc 0.000 0.000 0.249
Sc 0.000 0.000 0.751
Sc 0.500 0.500 0.251
Sc 0.500 0.500 0.749

E: -5.0418 eV per atom
Calculated formation energy: 0.05 eV per atom
DOS at the Fermi energy: 26.24 states/eV/cell
Magnetic moment: 0.00 Bohr magnetons per cell
SG: Immm, No. 71

[5]
First-principles (PBE-GGA) data for an optimized crystal structure of Dy2InNi, as listed in the Alexandria database.

abc: 3.455 3.455 7.675
angles: 90.00 90.00 90.00
Fractional positions:
Dy 0.000 0.000 0.214
Dy 0.000 0.000 0.786
In 0.500 0.500 0.500
Ni 0.500 0.500 0.000

E: -4.8653 eV per atom
Calculated formation energy: -0.43 eV per atom
DOS at the Fermi energy: 3.17 states/eV/cell
Magnetic moment: 0.00 Bohr magnetons per cell
SG: P4/mmm, No. 123

[6]
First-principles (PBE-GGA) data for an optimized crystal structure of IrCF2, as listed in the Alexandria database.

abc: 2.534 2.534 30.477
angles: 90.00 90.00 120.00
Fractional positions:
Ir 0.000 0.000 0.000
Ir 0.333 0.667 0.667
Ir 0.667 0.333 0.333
C 0.000 0.000 0.500
C 0.333 0.667 0.167
C 0.667 0.333 0.833
F 0.000 0.000 0.455
F 0.000 0.000 0.545
F 0.333 0.667 0.122
F 0.333 0.667 0.212
F 0.667 0.333 0.788
F 0.667 0.333 0.878

E: -4.7725 eV per atom
DOS at the Fermi energy: 7.98 states/eV/cell
Formation energy (no corrections): 684 meV per atom
Magnetic moment: 1.40 Bohr magnetons per cell
SG: R-3m, No. 166

> The highest E belongs to which entry?

IrCF2